# PBE-GGA Pu2MgPb4, optimized geometry
data_Pu2MgPb4
_chemical_formula_sum 'Pu2 Mg1 Pb4'
_cell_length_a 6.5331
_cell_length_b 6.5331
_cell_length_c 5.2659
_cell_angle_alpha 90.00
_cell_angle_beta 90.00
_cell_angle_gamma 109.91
_space_group_name_H-M_alt 'P 1'
_space_group_IT_number 1
_space_group_name_Hall 'P 1'
loop_
_atom_site_label
_atom_site_fract_x
_atom_site_fract_y
_atom_site_fract_z
Pu1 0.2198 0.7802 0.0000
Pu2 0.7802 0.2198 0.0000
Mg1 0.0000 0.0000 0.5000
Pb1 0.0000 0.5000 0.5000
Pb2 0.2892 0.2892 0.0000
Pb3 0.5000 0.0000 0.5000
Pb4 0.7108 0.7108 0.0000
# Formation energy from the elements   -0.056 eV/atom
# Space group   Cmmm
# Electronic total energy   -6.497 eV/atom

# PBE-GGA PuMgPb2, optimized geometry
data_PuMgPb2
_chemical_formula_sum 'Pu1 Mg1 Pb2'
_cell_length_a 3.7862
_cell_length_b 3.7862
_cell_length_c 7.5376
_cell_angle_alpha 90.00
_cell_angle_beta 90.00
_cell_angle_gamma 90.00
_space_group_name_H-M_alt 'P 1'
_space_group_IT_number 1
_space_group_name_Hall 'P 1'
loop_
_atom_site_label
_atom_site_fract_x
_atom_site_fract_y
_atom_site_fract_z
Pu1 0.0000 0.0000 0.0000
Mg1 0.0000 0.0000 0.5000
Pb1 0.5000 0.5000 0.2730
Pb2 0.5000 0.5000 0.7270
# Formation energy from the elements   -0.064 eV/atom
# Space group   P4/mmm
# Electronic total energy   -5.900 eV/atom

# PBE-GGA Pu2Mg3Pb3, optimized geometry
data_Pu2Mg3Pb3
_chemical_formula_sum 'Pu2 Mg3 Pb3'
_cell_length_a 4.7497
_cell_length_b 4.8611
_cell_length_c 9.1130
_cell_angle_alpha 90.00
_cell_angle_beta 90.00
_cell_angle_gamma 90.00
_space_group_name_H-M_alt 'P 1'
_space_group_IT_number 1
_space_group_name_Hall 'P 1'
loop_
_atom_site_label
_atom_site_fract_x
_atom_site_fract_y
_atom_site_fract_z
Pu1 0.0000 0.0000 0.2473
Pu2 0.0000 0.0000 0.7527
Mg1 0.0000 0.5000 0.5000
Mg2 0.5000 0.5000 0.2561
Mg3 0.5000 0.5000 0.7439
Pb1 0.0000 0.5000 0.0000
Pb2 0.5000 0.0000 0.0000
Pb3 0.5000 0.0000 0.5000
# Formation energy from the elements   -0.109 eV/atom
# Space group   Pmmm
# Electronic total energy   -5.681 eV/atom

# PBE-GGA Pu2MgPb3, optimized geometry
data_Pu2MgPb3
_chemical_formula_sum 'Pu4 Mg2 Pb6'
_cell_length_a 9.7709
_cell_length_b 9.7709
_cell_length_c 3.5534
_cell_angle_alpha 100.23
_cell_angle_beta 100.23
_cell_angle_gamma 64.51
_space_group_name_H-M_alt 'P 1'
_space_group_IT_number 1
_space_group_name_Hall 'P 1'
loop_
_atom_site_label
_atom_site_fract_x
_atom_site_fract_y
_atom_site_fract_z
Pu1 0.1010 0.2419 0.4205
Pu2 0.2419 0.1010 0.9205
Pu3 0.7581 0.8990 0.0795
Pu4 0.8990 0.7581 0.5795
Mg1 0.3800 0.6200 0.7500
Mg2 0.6200 0.3800 0.2500
Pb1 0.1286 0.8714 0.2500
Pb2 0.1913 0.4820 0.0840
Pb3 0.4820 0.1913 0.5840
Pb4 0.5180 0.8087 0.4160
Pb5 0.8087 0.5180 0.9160
Pb6 0.8714 0.1286 0.7500
# Formation energy from the elements   0.099 eV/atom
# E above lowest polymorph   202 meV/atom
# Space group   C2/c
# Electronic total energy   -6.799 eV/atom

# PBE-GGA PuMg2Pb2, optimized geometry
data_PuMg2Pb2
_chemical_formula_sum 'Pu2 Mg4 Pb4'
_cell_length_a 5.1092
_cell_length_b 5.1092
_cell_length_c 13.0187
_cell_angle_alpha 90.00
_cell_angle_beta 90.00
_cell_angle_gamma 120.00
_space_group_name_H-M_alt 'P 1'
_space_group_IT_number 1
_space_group_name_Hall 'P 1'
loop_
_atom_site_label
_atom_site_fract_x
_atom_site_fract_y
_atom_site_fract_z
Pu1 0.0000 0.0000 0.2500
Pu2 0.0000 0.0000 0.7500
Mg1 0.0000 0.0000 0.0000
Mg2 0.0000 0.0000 0.5000
Mg3 0.3333 0.6667 0.2500
Mg4 0.6667 0.3333 0.7500
Pb1 0.3333 0.6667 0.6210
Pb2 0.3333 0.6667 0.8790
Pb3 0.6667 0.3333 0.1210
Pb4 0.6667 0.3333 0.3790
# Formation energy from the elements   0.209 eV/atom
# E above lowest polymorph   134 meV/atom
# Space group   P6_3/mmc
# Electronic total energy   -4.778 eV/atom

# PBE-GGA PuMg15Pb4, optimized geometry
data_PuMg15Pb4
_chemical_formula_sum 'Pu1 Mg15 Pb4'
_cell_length_a 4.6879
_cell_length_b 4.6879
_cell_length_c 22.2686
_cell_angle_alpha 90.00
_cell_angle_beta 90.00
_cell_angle_gamma 90.00
_space_group_name_H-M_alt 'P 1'
_space_group_IT_number 1
_space_group_name_Hall 'P 1'
loop_
_atom_site_label
_atom_site_fract_x
_atom_site_fract_y
_atom_site_fract_z
Pu1 0.0000 0.0000 0.0000
Mg1 0.0000 0.5000 0.1033
Mg2 0.0000 0.5000 0.3024
Mg3 0.0000 0.5000 0.5000
Mg4 0.0000 0.5000 0.6976
Mg5 0.0000 0.5000 0.8967
Mg6 0.5000 0.0000 0.1033
Mg7 0.5000 0.0000 0.3024
Mg8 0.5000 0.0000 0.5000
Mg9 0.5000 0.0000 0.6976
Mg10 0.5000 0.0000 0.8967
Mg11 0.5000 0.5000 0.0000
Mg12 0.5000 0.5000 0.2064
Mg13 0.5000 0.5000 0.4011
Mg14 0.5000 0.5000 0.5989
Mg15 0.5000 0.5000 0.7936
Pb1 0.0000 0.0000 0.1982
Pb2 0.0000 0.0000 0.4006
Pb3 0.0000 0.0000 0.5994
Pb4 0.0000 0.0000 0.8018
# Formation energy from the elements   0.003 eV/atom
# Space group   P4/mmm
# Electronic total energy   -2.651 eV/atom